Computed, not measured: Sc2AlGeI after structural relaxation at the GGA-PBE level of DFT.

Summary:
ΔE_f (raw): 0.705 eV/atom
space group: P4/mmm, No. 123

Lattice parameters (Å, degrees): 5.262 5.262 5.429 90.00 90.00 90.00
Sites, in units of the cell vectors:
Sc 0.000 0.500 0.000
Sc 0.500 0.000 0.000
Al 0.000 0.000 0.500
Ge 0.500 0.500 0.500
I 0.500 0.500 0.000